Entry 1:
Entry from Alexandria via LeMat-Bulk: an optimized crystal structure of Sm12Tm2Mg (PBE-GGA).

Structure (POSCAR):
```
Sm12Tm2Mg
1.0
6.574 -1.550 -0.278
-1.550 6.574 -0.278
-1.361 -1.361 24.369
Sm Tm Mg
24 4 2
Direct
0.682 0.182 0.578 Sm
0.641 0.670 0.557 Sm
0.125 0.057 0.805 Sm
0.753 0.253 0.156 Sm
0.859 0.830 0.443 Sm
0.544 0.513 0.324 Sm
0.747 0.247 0.844 Sm
0.261 0.761 0.892 Sm
0.399 0.347 0.934 Sm
0.487 0.456 0.676 Sm
0.956 0.987 0.676 Sm
0.170 0.141 0.557 Sm
0.013 0.044 0.324 Sm
0.557 0.625 0.805 Sm
0.818 0.318 0.422 Sm
0.349 0.849 0.423 Sm
0.151 0.651 0.577 Sm
0.101 0.153 0.066 Sm
0.653 0.601 0.066 Sm
0.847 0.899 0.934 Sm
0.375 0.443 0.195 Sm
0.239 0.739 0.108 Sm
0.943 0.875 0.195 Sm
0.330 0.359 0.443 Sm
0.011 0.511 0.731 Tm
0.022 0.522 0.290 Tm
0.478 0.978 0.710 Tm
0.489 0.989 0.269 Tm
0.953 0.453 0.982 Mg
0.547 0.047 0.018 Mg
```

Results
ΔE_f in meV/atom: 95
Theoretical density in g/cm³: 7.3
Total DFT energy (no corrections) in eV/cell: -131.5
D(E_F) in states/eV/f.u.: 17.0
Space group: C2/m, No. 12

Entry 2:
Entry from Alexandria via LeMat-Bulk: an optimized crystal structure of SmTmMg6 (PBE-GGA).

Structure (POSCAR):
```
SmTmMg6
1.0
-4.084 -3.042 0.034
2.576 -3.513 -4.918
1.752 -2.286 5.905
Mg Sm Tm
6 1 1
Direct
0.500 0.920 0.080 Mg
0.000 0.634 0.934 Mg
0.500 0.432 0.133 Mg
0.000 0.583 0.417 Mg
0.000 0.066 0.366 Mg
0.500 0.867 0.568 Mg
0.500 0.381 0.619 Sm
0.000 0.118 0.882 Tm
```

Results
ΔE_f in meV/atom: -68
Theoretical density in g/cm³: 3.8
Total DFT energy (no corrections) in eV/cell: -19.3
D(E_F) in states/eV/f.u.: 5.2
Space group: Amm2, No. 38